No. 1
{"formula": "LaHg2Sb", "functional": "PBE", "state": "optimized geometry", "cell": [[-2.472, 2.472, 4.613], [2.472, -2.472, 4.613], [2.472, 2.472, -4.613]], "species": ["La", "Hg", "Hg", "Sb"], "frac_coords": [[0.000, 0.000, 0.000], [0.250, 0.750, 0.500], [0.500, 0.500, 0.000], [0.750, 0.250, 0.500]], "formation_energy_uncorrected_ev_per_atom": -0.470}

No. 2
{"formula": "SiTcRu", "functional": "PBE", "state": "optimized geometry", "cell": [[-1.395, 1.913, 3.844], [1.395, -1.913, 3.844], [1.395, 1.913, -3.844]], "species": ["Si", "Tc", "Ru"], "frac_coords": [[0.000, 0.000, 0.000], [0.667, 0.667, 0.000], [0.334, 0.334, 0.000]], "polymorph_energy_mev_per_atom": 189, "formation_energy_uncorrected_ev_per_atom": -0.192}

No. 3
{"formula": "Nd6Co2Pd", "functional": "PBE", "state": "optimized geometry", "cell": [[-4.833, 4.930, 4.978], [4.833, -4.930, 4.978], [4.833, 4.930, -4.978]], "species": ["Nd", "Nd", "Nd", "Nd", "Nd", "Nd", "Nd", "Nd", "Nd", "Nd", "Nd", "Nd", "Co", "Co", "Co", "Co", "Pd", "Pd"], "frac_coords": [[0.048, 0.236, 0.812], [0.178, 0.281, 0.459], [0.178, 0.719, 0.898], [0.326, 0.011, 0.684], [0.326, 0.642, 0.316], [0.424, 0.236, 0.188], [0.576, 0.764, 0.812], [0.674, 0.358, 0.684], [0.674, 0.989, 0.316], [0.822, 0.281, 0.102], [0.822, 0.719, 0.541], [0.952, 0.764, 0.188], [0.114, 0.614, 0.500], [0.334, 0.000, 0.334], [0.666, 0.000, 0.666], [0.886, 0.386, 0.500], [0.000, 0.000, 0.000], [0.500, 0.500, 0.000]], "formation_energy_ev_per_fu": -1.87}

no.,uncorrected energy (Ha/atom)
1,-0.1060
2,-0.3141
3,-0.2037